Here is a geometry-optimized TaCd2W structure from the Alexandria database. Energies are from PBE.

Calculated values
- Formation energy: 0.49 eV/atom
- Total DFT energy (no corrections): -49.3 eV/cell
- Offset from the most stable computed form: 0.251 eV per atom

abc: 9.853 2.782 5.474
angles: 90.00 95.03 90.00
Space group Cm (No. 8)
One atom of each set of equivalent atoms:
Ta  0.000  0.000  0.000 [2 per cell]
Cd  0.003  0.500  0.513 [2 per cell]
Cd  0.251  0.500  0.284 [2 per cell]
W  0.252  0.000  0.796 [2 per cell]